An optimized crystal structure of AlCu2Pt. Source: Alexandria via LeMat-Bulk, functional GGA-PBEsol.

Cell: 2.824 4.433 4.433 Å, 109.41 90.00 90.00°
Fractional positions:
Cu  0.000  0.500  0.000
Cu  0.000  0.000  0.500
Pt  0.500  0.000  0.000
Al  0.500  0.500  0.500

An optimized crystal structure of AlCuPt2. Source: Alexandria via LeMat-Bulk, functional GGA-PBEsol.

Cell: 3.206 3.206 5.441 Å, 90.00 90.00 90.00°
Fractional positions:
Cu  0.500  0.500  0.754
Pt  0.000  0.000  0.968
Pt  0.500  0.500  0.276
Al  0.000  0.000  0.502

An optimized crystal structure of AlCuPt2. Source: Alexandria via LeMat-Bulk, functional GGA-PBEsol.

Cell: 2.824 3.432 5.608 Å, 90.00 90.00 90.00°
Fractional positions:
Cu  0.500  0.500  0.500
Pt  0.000  0.000  0.750
Pt  0.000  0.000  0.250
Al  0.500  0.500  0.000

An optimized crystal structure of AlCu2Pt. Source: Alexandria via LeMat-Bulk, functional GGA-PBEsol.

Cell: 2.714 2.714 8.412 Å, 80.71 80.71 60.00°
Fractional positions:
Pt  0.500  0.500  0.500
Cu  0.253  0.253  0.241
Cu  0.747  0.747  0.759
Al  0.000  0.000  0.000

An optimized crystal structure of Al3CuPt. Source: Alexandria via LeMat-Bulk, functional GGA-PBEsol.

Cell: 4.695 4.695 4.695 Å, 90.00 90.00 90.00°
Fractional positions:
Cu  0.500  0.500  0.500
Pt  0.000  0.000  0.000
Al  0.000  0.500  0.000
Al  0.000  0.000  0.500
Al  0.500  0.000  0.000

An optimized crystal structure of AlCuPt2. Source: Alexandria via LeMat-Bulk, functional GGA-PBEsol.

Cell: 3.499 3.943 3.943 Å, 90.00 90.00 90.00°
Fractional positions:
Cu  0.500  0.000  0.000
Pt  0.000  0.000  0.500
Pt  0.000  0.500  0.000
Al  0.500  0.500  0.500

An optimized crystal structure of AlCu2Pt. Source: Alexandria via LeMat-Bulk, functional GGA-PBEsol.

Cell: 2.768 4.310 4.715 Å, 104.94 107.07 90.00°
Fractional positions:
Cu  0.244  0.245  0.489
Cu  0.756  0.755  0.511
Pt  0.000  0.500  0.000
Al  0.500  0.000  0.000

An optimized crystal structure of AlCuPt2. Source: Alexandria via LeMat-Bulk, functional GGA-PBEsol.

Cell: 3.977 4.444 3.977 Å, 63.42 90.00 116.58°
Fractional positions:
Cu  0.500  0.000  0.500
Pt  0.250  0.500  0.250
Pt  0.750  0.500  0.750
Al  0.000  0.000  0.000

| no. | energy of formation (eV/atom) | density (Mg/m³) |
| --- | --- | --- |
| 1 | -0.32 | 11.079 |
| 2 | -0.46 | 14.275 |
| 3 | -0.69 | 14.684 |
| 4 | -0.15 | 10.995 |
| 5 | 0.11 | 5.449 |
| 6 | -0.71 | 14.677 |
| 7 | -0.42 | 11.198 |
| 8 | -0.71 | 14.668 |